No. 1
TlCrPt | SCAN | PBEsol geometry

a = 2.887 Å, b = 2.887 Å, c = 11.703 Å
α = 90.00°, β = 90.00°, γ = 90.00°
Positions (direct):
Tl 0.000 0.000 0.000
Tl 0.500 0.500 0.500
Cr 0.000 0.000 0.675
Cr 0.500 0.500 0.175
Pt 0.000 0.000 0.305
Pt 0.500 0.500 0.805

## Properties
The density of states at the Fermi level is 0.49 states/eV/atom. The value obtained for the total energy is -53.366 eV per atom.

No. 2
CrPt2W | SCAN | PBEsol geometry

a = 9.088 Å, b = 2.728 Å, c = 4.676 Å
α = 90.00°, β = 100.26°, γ = 90.00°
Positions (direct):
Cr 0.000 0.000 0.000
Cr 0.500 0.500 0.000
Pt 0.247 0.500 0.246
Pt 0.253 0.000 0.754
Pt 0.747 0.000 0.246
Pt 0.753 0.500 0.754
W 0.000 0.500 0.500
W 0.500 0.000 0.500

## Properties
The density of states at the Fermi level is 0.77 states/eV/atom. The value obtained for the total energy is -57.218 eV per atom.

No. 3
CrPtW | SCAN | PBEsol geometry

a = 2.636 Å, b = 3.862 Å, c = 8.274 Å
α = 90.00°, β = 90.00°, γ = 90.00°
Positions (direct):
Cr 0.000 0.000 0.000
Cr 0.500 0.500 0.500
Pt 0.000 0.000 0.664
Pt 0.500 0.500 0.164
W 0.000 0.000 0.340
W 0.500 0.500 0.840

## Properties
The density of states at the Fermi level is 0.86 states/eV/atom. The value obtained for the total energy is -52.790 eV per atom.

No. 4
Cr4PtW | SCAN | PBEsol geometry

a = 4.724 Å, b = 4.724 Å, c = 4.724 Å
α = 60.00°, β = 60.00°, γ = 60.00°
Positions (direct):
Cr 0.124 0.124 0.124
Cr 0.124 0.124 0.628
Cr 0.124 0.628 0.124
Cr 0.628 0.124 0.124
Pt 0.500 0.500 0.500
W 0.750 0.750 0.750

## Properties
The density of states at the Fermi level is 1.10 states/eV/atom. The value obtained for the total energy is -35.598 eV per atom.

No. 5
CrPt2W | SCAN | PBEsol geometry

a = 2.674 Å, b = 2.674 Å, c = 7.909 Å
α = 90.00°, β = 90.00°, γ = 90.00°
Positions (direct):
Cr 0.000 0.000 0.000
Pt 0.500 0.500 0.238
Pt 0.500 0.500 0.762
W 0.000 0.000 0.500

## Properties
The density of states at the Fermi level is 0.73 states/eV/atom. The value obtained for the total energy is -57.413 eV per atom.

No. 6
CrPt2W | SCAN | PBEsol geometry

a = 3.867 Å, b = 3.867 Å, c = 7.645 Å
α = 90.00°, β = 90.00°, γ = 90.00°
Positions (direct):
Cr 0.000 0.000 0.000
Cr 0.500 0.500 0.500
Pt 0.000 0.000 0.500
Pt 0.000 0.500 0.750
Pt 0.500 0.000 0.250
Pt 0.500 0.500 0.000
W 0.000 0.500 0.250
W 0.500 0.000 0.750

## Properties
The density of states at the Fermi level is 0.71 states/eV/atom. The value obtained for the total energy is -57.377 eV per atom.

No. 7
ZnCr2Pt | SCAN | PBEsol geometry

a = 4.912 Å, b = 8.072 Å, c = 2.563 Å
α = 90.00°, β = 90.00°, γ = 90.00°
Positions (direct):
Zn 0.000 0.000 0.000
Zn 0.500 0.500 0.000
Cr 0.250 0.250 0.500
Cr 0.250 0.750 0.500
Cr 0.750 0.250 0.500
Cr 0.750 0.750 0.500
Pt 0.000 0.500 0.000
Pt 0.500 0.000 0.000

## Properties
The density of states at the Fermi level is 0.62 states/eV/atom. The value obtained for the total energy is -30.141 eV per atom.

No. 8
ZnCr2Pt | SCAN | PBEsol geometry

a = 3.811 Å, b = 3.811 Å, c = 7.376 Å
α = 90.00°, β = 90.00°, γ = 90.00°
Positions (direct):
Zn 0.000 0.000 0.000
Zn 0.500 0.500 0.500
Cr 0.000 0.000 0.500
Cr 0.000 0.500 0.250
Cr 0.500 0.000 0.750
Cr 0.500 0.500 0.000
Pt 0.000 0.500 0.750
Pt 0.500 0.000 0.250

## Properties
The density of states at the Fermi level is 0.56 states/eV/atom. The value obtained for the total energy is -30.522 eV per atom.

No. 9
ZnCr2Pt | SCAN | PBEsol geometry

a = 2.592 Å, b = 3.949 Å, c = 4.945 Å
α = 90.00°, β = 90.00°, γ = 90.00°
Positions (direct):
Zn 0.000 0.000 0.000
Cr 0.500 0.500 0.220
Cr 0.500 0.500 0.780
Pt 0.000 0.000 0.500

## Properties
The density of states at the Fermi level is 0.73 states/eV/atom. The value obtained for the total energy is -30.168 eV per atom.

No. 10
RbCr3Re | SCAN | PBEsol geometry

a = 4.801 Å, b = 4.801 Å, c = 4.801 Å
α = 90.00°, β = 90.00°, γ = 90.00°
Positions (direct):
Rb 0.000 0.000 0.000
Cr 0.000 0.500 0.500
Cr 0.500 0.000 0.500
Cr 0.500 0.500 0.000
Re 0.500 0.500 0.500

## Properties
The density of states at the Fermi level is 0.88 states/eV/atom. The value obtained for the total energy is -28.268 eV per atom.

No. 11
Rb2CrS | SCAN | PBEsol geometry

a = 12.733 Å, b = 12.733 Å, c = 4.546 Å
α = 90.00°, β = 90.00°, γ = 90.00°
Positions (direct):
Rb 0.059 0.750 0.125
Rb 0.250 0.059 0.875
Rb 0.250 0.441 0.375
Rb 0.441 0.750 0.625
Rb 0.559 0.250 0.625
Rb 0.750 0.559 0.375
Rb 0.750 0.941 0.875
Rb 0.941 0.250 0.125
Cr 0.000 0.000 0.500
Cr 0.000 0.500 0.750
Cr 0.500 0.000 0.250
Cr 0.500 0.500 0.000
S 0.000 0.000 0.000
S 0.000 0.500 0.250
S 0.500 0.000 0.750
S 0.500 0.500 0.500

## Properties
The density of states at the Fermi level is 0.36 states/eV/atom. The calculation puts the energy relative to the elements, uncorrected at -0.434 eV per atom.

No. 12
RbSc3Cr | SCAN | PBEsol geometry

a = 4.933 Å, b = 4.933 Å, c = 4.933 Å
α = 90.00°, β = 90.00°, γ = 90.00°
Positions (direct):
Rb 0.000 0.000 0.000
Sc 0.000 0.000 0.500
Sc 0.000 0.500 0.000
Sc 0.500 0.000 0.000
Cr 0.500 0.500 0.500

## Properties
The density of states at the Fermi level is 0.51 states/eV/atom. The value obtained for the total energy is -14.783 eV per atom.

No. 13
RbCrSe2 | SCAN | PBEsol geometry

a = 7.460 Å, b = 7.460 Å, c = 8.249 Å
α = 90.00°, β = 90.00°, γ = 90.00°
Positions (direct):
Rb 0.000 0.000 0.000
Rb 0.000 0.500 0.250
Rb 0.500 0.000 0.750
Rb 0.500 0.500 0.500
Cr 0.000 0.000 0.500
Cr 0.000 0.500 0.750
Cr 0.500 0.000 0.250
Cr 0.500 0.500 0.000
Se 0.139 0.750 0.625
Se 0.250 0.139 0.375
Se 0.250 0.361 0.875
Se 0.361 0.750 0.125
Se 0.639 0.250 0.125
Se 0.750 0.639 0.875
Se 0.750 0.861 0.375
Se 0.861 0.250 0.625

## Properties
The density of states at the Fermi level is 0.21 states/eV/atom. The calculation puts the energy relative to the elements, uncorrected at -0.954 eV per atom.

No. 14
RbCr5Se8 | SCAN | PBEsol geometry

a = 9.506 Å, b = 9.506 Å, c = 8.922 Å
α = 104.32°, β = 104.32°, γ = 22.05°
Positions (direct):
Rb 0.000 0.000 0.000
Cr 0.159 0.159 0.479
Cr 0.204 0.204 0.834
Cr 0.500 0.500 0.500
Cr 0.796 0.796 0.166
Cr 0.841 0.841 0.521
Se 0.075 0.075 0.656
Se 0.261 0.261 0.343
Se 0.329 0.329 0.009
Se 0.413 0.413 0.673
Se 0.587 0.587 0.327
Se 0.671 0.671 0.991
Se 0.739 0.739 0.657
Se 0.925 0.925 0.344

## Properties
The calculation puts the energy relative to the elements, uncorrected at -1.001 eV per atom.

No. 15
Rb3CrSi | SCAN | PBEsol geometry

a = 6.548 Å, b = 6.548 Å, c = 6.548 Å
α = 90.00°, β = 90.00°, γ = 90.00°
Positions (direct):
Rb 0.000 0.000 0.500
Rb 0.000 0.500 0.000
Rb 0.500 0.000 0.000
Cr 0.000 0.000 0.000
Si 0.500 0.500 0.500

## Properties
The density of states at the Fermi level is 0.62 states/eV/atom. The calculation puts the energy relative to the elements, uncorrected at 0.999 eV per atom.

No. 16
RbCrTc2 | SCAN | PBEsol geometry

a = 6.328 Å, b = 6.328 Å, c = 6.328 Å
α = 90.00°, β = 90.00°, γ = 90.00°
Positions (direct):
Rb 0.000 0.000 0.000
Rb 0.000 0.500 0.500
Rb 0.500 0.000 0.500
Rb 0.500 0.500 0.000
Cr 0.000 0.000 0.500
Cr 0.000 0.500 0.000
Cr 0.500 0.000 0.000
Cr 0.500 0.500 0.500
Tc 0.250 0.250 0.250
Tc 0.250 0.250 0.750
Tc 0.250 0.750 0.250
Tc 0.250 0.750 0.750
Tc 0.750 0.250 0.250
Tc 0.750 0.250 0.750
Tc 0.750 0.750 0.250
Tc 0.750 0.750 0.750

## Properties
The density of states at the Fermi level is 0.59 states/eV/atom. The value obtained for the total energy is -25.561 eV per atom.

No. 17
RbYCr2Tc | SCAN | PBEsol geometry

a = 4.913 Å, b = 4.913 Å, c = 5.501 Å
α = 90.00°, β = 90.00°, γ = 90.00°
Positions (direct):
Rb 0.000 0.000 0.000
Y 0.000 0.000 0.500
Cr 0.000 0.500 0.500
Cr 0.500 0.000 0.500
Tc 0.500 0.500 0.000

## Properties
The density of states at the Fermi level is 0.76 states/eV/atom. The value obtained for the total energy is -21.745 eV per atom.

No. 18
Rb2CrTe2 | SCAN | PBEsol geometry

a = 4.455 Å, b = 4.455 Å, c = 20.939 Å
α = 90.00°, β = 90.00°, γ = 90.00°
Positions (direct):
Rb 0.000 0.000 0.113
Rb 0.000 0.000 0.887
Rb 0.500 0.500 0.387
Rb 0.500 0.500 0.613
Cr 0.000 0.000 0.500
Cr 0.500 0.500 0.000
Te 0.000 0.500 0.250
Te 0.000 0.500 0.750
Te 0.500 0.000 0.250
Te 0.500 0.000 0.750

## Properties
The density of states at the Fermi level is 0.29 states/eV/atom. The calculation puts the energy relative to the elements, uncorrected at 0.001 eV per atom.

No. 19
RbTiCr2 | SCAN | PBEsol geometry

a = 6.874 Å, b = 6.874 Å, c = 6.874 Å
α = 90.00°, β = 90.00°, γ = 90.00°
Positions (direct):
Rb 0.000 0.000 0.000
Rb 0.000 0.500 0.500
Rb 0.500 0.000 0.500
Rb 0.500 0.500 0.000
Ti 0.000 0.000 0.500
Ti 0.000 0.500 0.000
Ti 0.500 0.000 0.000
Ti 0.500 0.500 0.500
Cr 0.250 0.250 0.250
Cr 0.250 0.250 0.750
Cr 0.250 0.750 0.250
Cr 0.250 0.750 0.750
Cr 0.750 0.250 0.250
Cr 0.750 0.250 0.750
Cr 0.750 0.750 0.250
Cr 0.750 0.750 0.750

## Properties
The density of states at the Fermi level is 0.69 states/eV/atom. The value obtained for the total energy is -17.033 eV per atom.

No. 20
RbTl2Cr | SCAN | PBEsol geometry

a = 7.614 Å, b = 7.614 Å, c = 7.614 Å
α = 90.00°, β = 90.00°, γ = 90.00°
Positions (direct):
Rb 0.000 0.000 0.000
Rb 0.000 0.500 0.500
Rb 0.500 0.000 0.500
Rb 0.500 0.500 0.000
Tl 0.250 0.250 0.250
Tl 0.250 0.250 0.750
Tl 0.250 0.750 0.250
Tl 0.250 0.750 0.750
Tl 0.750 0.250 0.250
Tl 0.750 0.250 0.750
Tl 0.750 0.750 0.250
Tl 0.750 0.750 0.750
Cr 0.000 0.000 0.500
Cr 0.000 0.500 0.000
Cr 0.500 0.000 0.000
Cr 0.500 0.500 0.500

## Properties
The density of states at the Fermi level is 0.57 states/eV/atom. The value obtained for the total energy is -45.642 eV per atom.

No. 21
RbTl3Cr | SCAN | PBEsol geometry

a = 5.271 Å, b = 5.271 Å, c = 5.271 Å
α = 90.00°, β = 90.00°, γ = 90.00°
Positions (direct):
Rb 0.000 0.000 0.000
Tl 0.000 0.500 0.500
Tl 0.500 0.000 0.500
Tl 0.500 0.500 0.000
Cr 0.500 0.500 0.500

## Properties
The density of states at the Fermi level is 0.43 states/eV/atom. The value obtained for the total energy is -51.173 eV per atom.

No. 22
Rb3CrW | SCAN | PBEsol geometry

a = 6.619 Å, b = 6.619 Å, c = 6.619 Å
α = 90.00°, β = 90.00°, γ = 90.00°
Positions (direct):
Rb 0.000 0.000 0.500
Rb 0.000 0.500 0.000
Rb 0.500 0.000 0.000
Cr 0.000 0.000 0.000
W 0.500 0.500 0.500

## Properties
The density of states at the Fermi level is 0.58 states/eV/atom. The value obtained for the total energy is -28.177 eV per atom.

No. 23
RbZn3Cr | SCAN | PBEsol geometry

a = 5.888 Å, b = 5.888 Å, c = 5.888 Å
α = 90.00°, β = 90.00°, γ = 90.00°
Positions (direct):
Rb 0.000 0.000 0.000
Zn 0.000 0.000 0.500
Zn 0.000 0.500 0.000
Zn 0.500 0.000 0.000
Cr 0.500 0.500 0.500

## Properties
The density of states at the Fermi level is 0.35 states/eV/atom. The value obtained for the total energy is -14.562 eV per atom.

No. 24
CrRe | SCAN | PBEsol geometry

a = 2.938 Å, b = 4.193 Å, c = 8.384 Å
α = 90.00°, β = 90.00°, γ = 90.00°
Positions (direct):
Cr 0.000 0.250 0.140
Cr 0.000 0.750 0.860
Cr 0.500 0.250 0.360
Cr 0.500 0.750 0.640
Re 0.000 0.250 0.616
Re 0.000 0.750 0.384
Re 0.500 0.250 0.884
Re 0.500 0.750 0.116

## Properties
The density of states at the Fermi level is 0.78 states/eV/atom. The value obtained for the total energy is -44.766 eV per atom.

No. 25
CrRe4 | SCAN | PBEsol geometry

a = 9.301 Å, b = 9.301 Å, c = 4.962 Å
α = 90.00°, β = 90.00°, γ = 90.00°
Positions (direct):
Cr 0.000 0.000 0.000
Cr 0.084 0.084 0.500
Cr 0.416 0.584 0.000
Cr 0.500 0.500 0.500
Cr 0.584 0.416 0.000
Cr 0.916 0.916 0.500
Re 0.034 0.360 0.500
Re 0.063 0.256 0.000
Re 0.140 0.534 0.000
Re 0.182 0.818 0.252
Re 0.182 0.818 0.748
Re 0.244 0.563 0.500
Re 0.256 0.063 0.000
Re 0.318 0.318 0.248
Re 0.318 0.318 0.752
Re 0.360 0.034 0.500
Re 0.437 0.756 0.500
Re 0.466 0.860 0.000
Re 0.534 0.140 0.000
Re 0.563 0.244 0.500
Re 0.640 0.966 0.500
Re 0.682 0.682 0.248
Re 0.682 0.682 0.752
Re 0.744 0.937 0.000
Re 0.756 0.437 0.500
Re 0.818 0.182 0.252
Re 0.818 0.182 0.748
Re 0.860 0.466 0.000
Re 0.937 0.744 0.000
Re 0.966 0.640 0.500

## Properties
The density of states at the Fermi level is 0.83 states/eV/atom. The value obtained for the total energy is -60.516 eV per atom.

No. 26
Cr2Re | SCAN | PBEsol geometry

a = 4.696 Å, b = 4.696 Å, c = 4.696 Å
α = 60.00°, β = 60.00°, γ = 60.00°
Positions (direct):
Cr 0.000 0.000 0.000
Cr 0.000 0.000 0.500
Cr 0.000 0.500 0.000
Cr 0.500 0.000 0.000
Re 0.375 0.375 0.375
Re 0.625 0.625 0.625

## Properties
The density of states at the Fermi level is 1.01 states/eV/atom. The value obtained for the total energy is -35.940 eV per atom.

No. 27
Cr5Re | SCAN | PBEsol geometry

a = 2.873 Å, b = 12.117 Å, c = 4.067 Å
α = 90.00°, β = 90.00°, γ = 90.00°
Positions (direct):
Cr 0.000 0.000 0.000
Cr 0.000 0.171 0.500
Cr 0.000 0.331 0.000
Cr 0.000 0.669 0.000
Cr 0.000 0.829 0.500
Cr 0.500 0.169 0.000
Cr 0.500 0.329 0.500
Cr 0.500 0.500 0.000
Cr 0.500 0.671 0.500
Cr 0.500 0.831 0.000
Re 0.000 0.500 0.500
Re 0.500 0.000 0.500

## Properties
The density of states at the Fermi level is 0.70 states/eV/atom. The value obtained for the total energy is -27.183 eV per atom.

Summary of calculated density in Mg/m³
15.38; 18.22; 16.99; 13.07; 18.39; 18.18; 11.91; 11.30; 11.96; 6.42; 2.30; 3.77; 4.27; 5.54; 1.99; 8.74; 4.71; 3.82; 4.85; 8.22; 8.51; 2.82; 2.71; 15.32; 18.49; 13.16; 10.47
(order as listed above)